[1]
The following is a PBE calculation of crystalline Nb3Te2S4 at its relaxed geometry, from the Alexandria database.

Lattice parameters (Å, degrees): 3.422 3.422 21.532 90.00 90.00 120.00
Last column: magnetic moment on the atom in μB.
Atoms (fractional coordinates):
Nb  0.000  0.000  0.977  0.17
Nb  0.000  0.000  0.335  -0.01
Nb  0.667  0.333  0.647  -0.01
Te  0.667  0.333  0.069  0.03
Te  0.667  0.333  0.884  0.04
S  0.000  0.000  0.576  0.00
S  0.667  0.333  0.407  0.00
S  0.667  0.333  0.263  0.00
S  0.000  0.000  0.719  0.00

Summary:
DOS(E_F) (states/eV/atom): 1.233
Symmetry: No. 156
Formation energy (no corrections) (eV/atom): -0.801


[2]
The following is a PBE calculation of crystalline ZrCo2SiNi at its relaxed geometry, from the Alexandria database.

Lattice parameters (Å, degrees): 4.274 4.678 4.274 90.00 90.00 90.00
Last column: magnetic moment on the atom in μB.
Atoms (fractional coordinates):
Ni  0.000  0.000  0.000  0.52
Si  0.500  0.500  0.500  0.02
Co  0.000  0.000  0.500  2.13
Co  0.500  0.000  0.000  1.47
Zr  0.000  0.500  0.000  -0.09

Summary:
DOS(E_F) (states/eV/atom): 1.515
Symmetry: No. 123
Formation energy (no corrections) (eV/atom): 0.683


[3]
The following is a PBE calculation of crystalline CsLi2SiAg at its relaxed geometry, from the Alexandria database.

Lattice parameters (Å, degrees): 5.215 5.215 4.996 90.00 90.00 90.00
Atoms (fractional coordinates):
Cs  0.500  0.500  0.500
Si  0.000  0.000  0.000
Ag  0.000  0.000  0.500
Li  0.000  0.500  0.000
Li  0.500  0.000  0.000

Summary:
DOS(E_F) (states/eV/atom): 0.089
Symmetry: No. 123
Formation energy (no corrections) (eV/atom): -0.037


[4]
The following is a PBE calculation of crystalline K3InAu4 at its relaxed geometry, from the Alexandria database.

Lattice parameters (Å, degrees): 6.609 9.552 14.936 90.00 90.00 90.00
Atoms (fractional coordinates):
K  0.792  0.750  0.044
K  0.950  0.052  0.177
K  0.950  0.448  0.177
K  0.450  0.552  0.323
K  0.450  0.948  0.323
K  0.292  0.250  0.456
K  0.708  0.750  0.544
K  0.550  0.052  0.677
K  0.550  0.448  0.677
K  0.050  0.552  0.823
K  0.050  0.948  0.823
K  0.208  0.250  0.956
Au  0.683  0.250  0.014
Au  0.411  0.505  0.091
Au  0.411  0.995  0.091
Au  0.720  0.250  0.332
Au  0.220  0.750  0.168
Au  0.911  0.005  0.409
Au  0.911  0.495  0.409
Au  0.183  0.750  0.486
Au  0.817  0.250  0.514
Au  0.089  0.505  0.591
Au  0.089  0.995  0.591
Au  0.780  0.250  0.832
Au  0.280  0.750  0.668
Au  0.589  0.005  0.909
Au  0.589  0.495  0.909
Au  0.317  0.750  0.986
In  0.484  0.250  0.178
In  0.984  0.750  0.322
In  0.016  0.250  0.678
In  0.516  0.750  0.822

Summary:
ΔH_f (0 K) (eV/atom): -0.2900
DOS(E_F) (states/eV/atom): 0.223
Symmetry: No. 62


[5]
The following is a PBE calculation of crystalline NbGaHSI at its relaxed geometry, from the Alexandria database.

Lattice parameters (Å, degrees): 3.617 5.319 5.832 65.40 71.93 70.12
Atoms (fractional coordinates):
Nb  0.989  0.235  0.742
Ga  0.293  0.106  0.264
H  0.879  0.089  0.108
S  0.504  0.493  0.455
I  0.676  0.764  0.840

Summary:
Excess energy over the best structure of this formula in the dataset (eV per atom): 0.1565
DOS(E_F) (states/eV/atom): 0.190
Symmetry: No. 8


[6]
The following is a PBE calculation of crystalline AgMoIr2 at its relaxed geometry, from the Alexandria database.

Lattice parameters (Å, degrees): 4.610 2.727 4.983 87.69 90.00 90.00
Atoms (fractional coordinates):
Ag  0.500  0.750  0.750
Ir  0.000  0.007  0.004
Ir  0.000  0.493  0.496
Mo  0.500  0.250  0.250

Summary:
ΔH_f (0 K) (eV/atom): 0.3791
Excess energy over the best structure of this formula in the dataset (eV per atom): 0.3688
DOS(E_F) (states/eV/atom): 1.324
Symmetry: No. 10


[7]
The following is a PBE calculation of crystalline BaSr7Ca2 at its relaxed geometry, from the Alexandria database.

Lattice parameters (Å, degrees): 6.856 10.987 10.987 120.46 90.00 90.00
Atoms (fractional coordinates):
Ba  0.000  0.000  0.000
Sr  0.000  0.779  0.221
Sr  0.000  0.221  0.779
Sr  0.500  0.061  0.298
Sr  0.500  0.939  0.702
Sr  0.500  0.298  0.061
Sr  0.500  0.702  0.939
Sr  0.500  0.500  0.500
Ca  0.500  0.704  0.296
Ca  0.500  0.296  0.704

Summary:
ΔH_f (0 K) (eV/atom): 0.4084
DOS(E_F) (states/eV/atom): 1.456
Symmetry: No. 65


[8]
The following is a PBE calculation of crystalline PrEuIr2 at its relaxed geometry, from the Alexandria database.

Lattice parameters (Å, degrees): 3.433 3.433 7.519 90.00 90.00 90.00
Last column: magnetic moment on the atom in μB.
Atoms (fractional coordinates):
Eu  0.500  0.500  0.500  6.66
Pr  0.500  0.500  0.000  0.02
Ir  0.000  0.000  0.753  -0.10
Ir  0.000  0.000  0.247  -0.10

Summary:
ΔH_f (0 K) (eV/atom): -0.3314
DOS(E_F) (states/eV/atom): 2.848
Symmetry: No. 123


[9]
The following is a PBE calculation of crystalline SmTlAgSe2 at its relaxed geometry, from the Alexandria database.

Lattice parameters (Å, degrees): 5.925 6.707 7.968 104.01 90.00 90.00
Atoms (fractional coordinates):
Sm  0.511  0.000  0.250
Sm  0.489  0.000  0.750
Tl  0.181  0.500  0.750
Tl  0.819  0.500  0.250
Ag  0.000  0.000  0.000
Ag  0.000  0.000  0.500
Se  0.684  0.734  0.940
Se  0.684  0.266  0.560
Se  0.316  0.734  0.440
Se  0.316  0.266  0.060

Summary:
DOS(E_F) (states/eV/atom): 0.361
Symmetry: No. 13
Formation energy (no corrections) (eV/atom): -0.747


[10]
The following is a PBE calculation of crystalline MgCuTe2 at its relaxed geometry, from the Alexandria database.

Lattice parameters (Å, degrees): 7.296 7.296 4.065 90.01 90.01 27.70
Atoms (fractional coordinates):
Cu  0.522  0.522  0.628
Mg  0.298  0.298  0.122
Te  0.972  0.972  0.127
Te  0.708  0.708  0.623

Summary:
Excess energy over the best structure of this formula in the dataset (eV per atom): 0.0756
DOS(E_F) (states/eV/atom): 0.566
Symmetry: No. 8
Formation energy (no corrections) (eV/atom): -0.271


[11]
The following is a PBE calculation of crystalline Si9Ni25 at its relaxed geometry, from the Alexandria database.

Lattice parameters (Å, degrees): 6.691 6.691 9.652 90.00 90.00 120.00
Atoms (fractional coordinates):
Si  0.992  0.329  0.677
Si  0.008  0.671  0.323
Si  0.337  0.008  0.677
Si  0.663  0.992  0.323
Si  0.671  0.663  0.677
Si  0.329  0.337  0.323
Si  0.667  0.333  0.976
Si  0.333  0.667  0.024
Si  0.000  0.000  0.000
Ni  0.657  0.704  0.925
Ni  0.343  0.296  0.075
Ni  0.047  0.343  0.925
Ni  0.953  0.657  0.075
Ni  0.296  0.953  0.925
Ni  0.704  0.047  0.075
Ni  0.667  0.333  0.610
Ni  0.333  0.667  0.390
Ni  0.000  0.000  0.756
Ni  0.000  0.000  0.244
Ni  0.000  0.000  0.500
Ni  0.667  0.333  0.236
Ni  0.333  0.667  0.764
Ni  0.672  0.075  0.812
Ni  0.328  0.925  0.188
Ni  0.403  0.328  0.812
Ni  0.597  0.672  0.188
Ni  0.925  0.597  0.812
Ni  0.075  0.403  0.188
Ni  0.619  0.933  0.567
Ni  0.381  0.067  0.433
Ni  0.314  0.381  0.567
Ni  0.686  0.619  0.433
Ni  0.067  0.686  0.567
Ni  0.933  0.314  0.433

Summary:
DOS(E_F) (states/eV/atom): 0.746
Symmetry: No. 147
Formation energy (no corrections) (eV/atom): -0.464


[12]
The following is a PBE calculation of crystalline Ho2ThScSe4 at its relaxed geometry, from the Alexandria database.

Lattice parameters (Å, degrees): 4.018 7.004 7.123 71.04 90.00 90.00
Atoms (fractional coordinates):
Ho  0.000  0.000  0.000
Ho  0.500  0.000  0.500
Th  0.000  0.500  0.500
Sc  0.500  0.500  0.000
Se  0.000  0.746  0.764
Se  0.000  0.254  0.236
Se  0.500  0.756  0.234
Se  0.500  0.244  0.766

Summary:
DOS(E_F) (states/eV/atom): 0.588
Symmetry: No. 10
Formation energy (no corrections) (eV/atom): -1.609


> DOS(E_F) of number 4 (K3InAu4)?

0.223 states/eV/atom


Please write out number 2 again, unchanged.
The following is a PBE calculation of crystalline ZrCo2SiNi at its relaxed geometry, from the Alexandria database.

Lattice parameters (Å, degrees): 4.274 4.678 4.274 90.00 90.00 90.00
Last column: magnetic moment on the atom in μB.
Atoms (fractional coordinates):
Ni  0.000  0.000  0.000  0.52
Si  0.500  0.500  0.500  0.02
Co  0.000  0.000  0.500  2.13
Co  0.500  0.000  0.000  1.47
Zr  0.000  0.500  0.000  -0.09

Summary:
DOS(E_F) (states/eV/atom): 1.515
Symmetry: No. 123
Formation energy (no corrections) (eV/atom): 0.683